No. 1
A relaxed KCr2BiW crystal. Source: Alexandria, functional GGA-PBE.

a = 5.0202 Å, b = 5.0202 Å, c = 5.8555 Å
α = 90.00°, β = 90.00°, γ = 90.00°
With the nearest neighbours (Å) after each atom.
Space group P4/mmm (No. 123)
One atom of each set of equivalent atoms:
K: 0.0000 0.0000 0.0000 [1 per cell]  2 Bi 2.93
Cr: 0.0000 0.5000 0.5000 [2 per cell]  2 Bi 2.51
Bi: 0.0000 0.0000 0.5000 [1 per cell]  4 Cr 2.51
W: 0.5000 0.5000 0.0000 [1 per cell]  4 K 3.55, 8 Cr 3.86

Calculated values
Volume (Å³ per atom): 29.5
Calculated formation energy (meV/atom): 2770
Total moment (μB per cell): 4.8
Theoretical density (Mg/m³): 6.0


No. 2
A relaxed LaCrBi2 crystal. Source: Alexandria, functional GGA-PBE.

a = 7.4187 Å, b = 7.4187 Å, c = 7.4187 Å
α = 90.00°, β = 90.00°, γ = 90.00°
With the nearest neighbours (Å) after each atom.
Space group Fm-3m (No. 225)
One atom of each set of equivalent atoms:
La: 0.0000 0.0000 0.0000 [4 per cell]  8 Bi 3.21
Cr: 0.0000 0.0000 0.5000 [4 per cell]  8 Bi 3.21
Bi: 0.2500 0.2500 0.2500 [8 per cell]  4 Cr 3.21, 4 La 3.21

Calculated values
Volume (Å³ per atom): 25.5
Calculated formation energy (meV/atom): 241
Total moment (μB per cell): 0.0
Theoretical density (Mg/m³): 9.9


No. 3
A relaxed LaCr3Bi crystal. Source: Alexandria, functional GGA-PBE.

a = 4.6521 Å, b = 4.6521 Å, c = 4.6521 Å
α = 90.00°, β = 90.00°, γ = 90.00°
With the nearest neighbours (Å) after each atom.
Space group Pm-3m (No. 221)
One atom of each set of equivalent atoms:
La: 0.0000 0.0000 0.0000 [1 per cell]  6 Cr 2.33
Cr: 0.0000 0.0000 0.5000 [3 per cell]  2 La 2.33
Bi: 0.5000 0.5000 0.5000 [1 per cell]  12 Cr 3.29

Calculated values
Volume (Å³ per atom): 20.1
Calculated formation energy (meV/atom): 1978
Total moment (μB per cell): 0.0
Theoretical density (Mg/m³): 8.3


Q: Among the records above, which one has the highest total moment?
A: KCr2BiW


Q: What is the volume in the third record?
A: 20.1 Å³ per atom